# Sr2InFe

An optimized crystal structure of Sr2InFe (GGA-PBE, Alexandria via LeMat-Bulk).

Unit cell a=12.4731 b=3.9887 c=5.5142 alpha=90.00 beta=116.07 gamma=90.00
Closest atoms and distances in Å follow each position.
Space group Cm (No. 8)
Inequivalent atoms, fractional coordinates:
Sr (0.0000, 0.0000, 0.0000)  4 In 3.50, 4 Sr 3.59-3.86, 4 Fe 3.60-3.80
Sr (0.2048, 0.0000, 0.7038)  4 Fe 3.47-3.48, 4 Sr 3.59-3.86, 4 In 3.70-3.72
In (0.4264, 0.0000, 0.4267)  2 Fe 2.67
Fe (0.2678, 0.5000, 0.2660)  2 In 2.67

Properties
DFT formation energy = 17.6 kJ per mole of atoms



# PrCd2Bi

An optimized crystal structure of PrCd2Bi (GGA-PBE, Alexandria via LeMat-Bulk).

Unit cell a=3.4350 b=3.4350 c=35.8377 alpha=90.00 beta=90.00 gamma=120.00
Closest atoms and distances in Å follow each position.
Space group R-3m (No. 166, hexagonal axes)
Inequivalent atoms, fractional coordinates:
Pr (0.0000, 0.0000, 0.0000)  2 Cd 3.21, 6 Pr 3.44
Cd (0.0000, 0.0000, 0.0894)  1 Pr 3.21, 3 Bi 3.40, 6 Cd 3.44
Bi (0.0000, 0.0000, 0.5000)  6 Cd 3.40, 6 Bi 3.44

Properties
DFT formation energy = 16.1 kJ per mole of atoms



# Sr2LaY2

An optimized crystal structure of Sr2LaY2 (GGA-PBE, Alexandria via LeMat-Bulk).

Unit cell a=9.9445 b=9.9445 c=4.1009 alpha=90.00 beta=90.00 gamma=90.00
Closest atoms and distances in Å follow each position.
Space group P4/mbm (No. 127)
Inequivalent atoms, fractional coordinates:
Sr (0.1733, 0.3267, 0.0000)  6 Y 3.51-3.63
La (0.0000, 0.0000, 0.5000)  4 Y 3.94, 2 La 4.10, 8 Sr 4.21
Y (0.1242, 0.6242, 0.5000)  1 Y 3.49, 6 Sr 3.51-3.63

Properties
DFT formation energy = 31.7 kJ per mole of atoms
Energy above the most stable polymorph in this dataset = 0 meV per atom



# HgSeF6

An optimized crystal structure of HgSeF6 (GGA-PBE, Alexandria via LeMat-Bulk).

Unit cell a=5.6000 b=8.5695 c=5.3674 alpha=90.00 beta=102.25 gamma=90.00
Closest atoms and distances in Å follow each position.
Space group C2/m (No. 12)
Inequivalent atoms, fractional coordinates:
Hg (0.0000, 0.0000, 0.0000)  6 F 2.34-2.37
Se (0.0000, 0.5000, 0.5000)  6 F 1.94-1.97
F (0.1966, 0.3480, 0.7338)  1 Se 1.97
F (0.2464, 0.5000, 0.2956)  1 Se 1.94

Properties
Energy relative to the elements, uncorrected = -1530.3 meV/atom
Energy above the most stable polymorph in this dataset = 26 meV per atom



# Ho4Er2Tm

An optimized crystal structure of Ho4Er2Tm (GGA-PBE, Alexandria via LeMat-Bulk).

Unit cell a=6.0908 b=6.4478 c=11.3581 alpha=90.00 beta=105.13 gamma=90.00
Closest atoms and distances in Å follow each position.
Space group P2_1/m (No. 11)
Inequivalent atoms, fractional coordinates:
Ho (0.0288, 0.2500, 0.3605)  3 Tm 3.29-3.41, 2 Ho 3.31, 3 Er 3.32-3.46
Ho (0.1455, 0.2500, 0.9444)  1 Tm 3.25, 4 Er 3.35-3.36, 4 Ho 3.39-3.45
Ho (0.3467, 0.5039, 0.2126)  5 Ho 3.17-3.45, 1 Tm 3.37, 2 Er 3.44-3.55
Er (0.2907, 0.7500, 0.9263)  9 Ho 3.33-3.55
Er (0.3923, 0.7500, 0.5031)  6 Ho 3.32-3.61, 2 Tm 3.39-3.68, 2 Er 3.49
Tm (0.1595, 0.2500, 0.6605)  6 Ho 3.25-3.41, 1 Er 3.39

Properties
DFT formation energy = 13.8 kJ per mole of atoms
Energy above the most stable polymorph in this dataset = 138 meV per atom



# PmNdCo2

An optimized crystal structure of PmNdCo2 (GGA-PBE, Alexandria via LeMat-Bulk).

Unit cell a=6.9072 b=6.9072 c=6.9072 alpha=90.00 beta=90.00 gamma=90.00
Closest atoms and distances in Å follow each position.
Space group Fm-3m (No. 225)
Inequivalent atoms, fractional coordinates:
Pm (0.0000, 0.0000, 0.0000)  8 Co 2.99
Nd (0.0000, 0.0000, 0.5000)  8 Co 2.99
Co (0.2500, 0.2500, 0.2500)  4 Nd 2.99, 4 Pm 2.99

Properties
DFT formation energy = 3.3 kJ per mole of atoms
Energy above the most stable polymorph in this dataset = 111 meV per atom



# Pr4NdHg5

An optimized crystal structure of Pr4NdHg5 (GGA-PBE, Alexandria via LeMat-Bulk).

Unit cell a=3.8660 b=3.8660 c=19.2566 alpha=90.00 beta=90.00 gamma=90.00
Closest atoms and distances in Å follow each position.
Space group P4/mmm (No. 123)
Inequivalent atoms, fractional coordinates:
Pr (0.0000, 0.0000, 0.1003)  8 Hg 3.34-3.35
Pr (0.0000, 0.0000, 0.3009)  8 Hg 3.35
Nd (0.0000, 0.0000, 0.5000)  8 Hg 3.32
Hg (0.5000, 0.5000, 0.0000)  8 Pr 3.35
Hg (0.5000, 0.5000, 0.2004)  8 Pr 3.34-3.35
Hg (0.5000, 0.5000, 0.4018)  4 Nd 3.32, 4 Pr 3.35

Properties
DFT formation energy = -45.6 kJ per mole of atoms



# Ba2C

An optimized crystal structure of Ba2C (GGA-PBE, Alexandria via LeMat-Bulk).

Unit cell a=7.2525 b=7.2525 c=7.0079 alpha=90.00 beta=90.00 gamma=120.00
Closest atoms and distances in Å follow each position.
Space group P-31m (No. 162)
Inequivalent atoms, fractional coordinates:
Ba (0.0000, 0.3370, 0.2667)  3 C 2.91-3.08
C (0.0000, 0.0000, 0.0000)  6 Ba 3.08
C (0.3333, 0.6667, 0.5000)  6 Ba 2.91

Properties
DFT formation energy = 70.6 kJ per mole of atoms
Energy above the most stable polymorph in this dataset = 595 meV per atom



# Be3TlFe

An optimized crystal structure of Be3TlFe (GGA-PBE, Alexandria via LeMat-Bulk).

Unit cell a=4.1142 b=4.1142 c=4.1142 alpha=90.00 beta=90.00 gamma=90.00
Closest atoms and distances in Å follow each position.
Space group Pm-3m (No. 221)
Inequivalent atoms, fractional coordinates:
Be (0.0000, 0.0000, 0.5000)  2 Fe 2.06
Tl (0.5000, 0.5000, 0.5000)  12 Be 2.91
Fe (0.0000, 0.0000, 0.0000)  6 Be 2.06

Properties
DFT formation energy = 73.7 kJ per mole of atoms
Energy above the most stable polymorph in this dataset = 0 meV per atom



# LaHo2TmTh

An optimized crystal structure of LaHo2TmTh (GGA-PBE, Alexandria via LeMat-Bulk).

Unit cell a=3.5156 b=5.6430 c=8.7016 alpha=90.00 beta=90.06 gamma=90.00
Closest atoms and distances in Å follow each position.
Space group P2/m (No. 10)
Inequivalent atoms, fractional coordinates:
La (0.0000, 0.0000, 0.0000)  4 Th 3.32, 2 La 3.52
Ho (0.0012, 0.5000, 0.3224)  1 Ho 3.09, 2 Th 3.31
Tm (0.5000, 0.0000, 0.5000)  2 Tm 3.52, 8 Ho 3.66-3.67
Th (0.5000, 0.5000, 0.0000)  4 Ho 3.31, 4 La 3.32, 2 Th 3.52

Properties
DFT formation energy = 29.0 kJ per mole of atoms



# La2SiAg

An optimized crystal structure of La2SiAg (GGA-PBE, Alexandria via LeMat-Bulk).

Unit cell a=4.0752 b=4.7091 c=10.6563 alpha=90.00 beta=90.00 gamma=90.00
Closest atoms and distances in Å follow each position.
Space group Imm2 (No. 44)
Inequivalent atoms, fractional coordinates:
La (0.0000, 0.0000, 0.0000)  4 Ag 3.17, 2 La 3.31, 2 Si 3.36
La (0.0000, 0.5000, 0.2178)  4 Si 3.17, 2 La 3.31, 2 Ag 3.37
Si (0.0000, 0.5000, 0.7755)  2 Ag 2.71
Ag (0.0000, 0.0000, 0.4436)  2 Si 2.71

Properties
Energy relative to the elements, uncorrected = -386.7 meV/atom



Number 1: M_tot 0.66 μB/atom. Number 2: M_tot 0.00 μB/atom. Number 3: M_tot 0.00 μB/atom. Number 4: M_tot 0.00 μB/atom. Number 5: M_tot 0.00 μB/atom. Number 6: M_tot 0.20 μB/atom. Number 7: M_tot 0.24 μB/atom. Number 8: M_tot 0.21 μB/atom. Number 9: M_tot 0.00 μB/atom. Number 10: M_tot 0.00 μB/atom. Number 11: M_tot 0.00 μB/atom.